No. 1
Here is Ac3PmSm2S6 after structural relaxation from Alexandria via LeMat-Bulk. Energies are from PBE.

Summary:
Total magnetic moment in μB per formula unit: 0.00
E_tot in eV/f.u.: -75.4
ΔE_f (raw) in eV per atom: -2.010

a = 7.175 Å, b = 7.175 Å, c = 7.265 Å
α = 99.50°, β = 99.50°, γ = 120.10°
Element x y z (fractional)
Ac (0.000, 0.000, 0.000)
Ac (0.334, 0.666, 0.000)
Ac (0.666, 0.334, 0.000)
Pm (0.500, 0.500, 0.500)
Sm (0.167, 0.833, 0.500)
Sm (0.833, 0.167, 0.500)
S (0.089, 0.424, 0.270)
S (0.242, 0.242, 0.730)
S (0.424, 0.089, 0.270)
S (0.576, 0.911, 0.730)
S (0.758, 0.758, 0.270)
S (0.911, 0.576, 0.730)

No. 2
Here is Rb4ErNp3Se8 after structural relaxation from Alexandria via LeMat-Bulk. Energies are from PBE.

Summary:
Total magnetic moment in μB per formula unit: 12.00
E_tot in eV/f.u.: -96.8
ΔE_f (raw) in eV per atom: -1.355

a = 9.389 Å, b = 9.389 Å, c = 9.389 Å
α = 54.32°, β = 54.32°, γ = 54.32°
Element x y z (fractional)
Rb (0.000, 0.000, 0.000)
Rb (0.000, 0.500, 0.500)
Rb (0.500, 0.000, 0.500)
Rb (0.500, 0.500, 0.000)
Er (0.500, 0.500, 0.500)
Np (0.000, 0.000, 0.500)
Np (0.000, 0.500, 0.000)
Np (0.500, 0.000, 0.000)
Se (0.231, 0.231, 0.231)
Se (0.237, 0.729, 0.729)
Se (0.271, 0.271, 0.763)
Se (0.271, 0.763, 0.271)
Se (0.729, 0.237, 0.729)
Se (0.729, 0.729, 0.237)
Se (0.763, 0.271, 0.271)
Se (0.769, 0.769, 0.769)

No. 3
Here is GaCu2 after structural relaxation from Alexandria via LeMat-Bulk. Energies are from PBE.

Summary:
Total magnetic moment in μB per formula unit: 0.00
E_tot in eV/f.u.: -11.4
E_form in eV per atom: -0.0641

a = 4.619 Å, b = 4.619 Å, c = 4.619 Å
α = 140.70°, β = 140.70°, γ = 56.80°
Element x y z (fractional)
Ga (0.000, 0.000, 0.000)
Cu (0.331, 0.331, 0.000)
Cu (0.669, 0.669, 0.000)